A relaxed GdYRhPb crystal. Source: Alexandria, functional GGA-PBE.

Cell and atoms, written as CIF:
```
data_GdYRhPb
_chemical_formula_sum 'Gd4 Y4 Rh4 Pb4'
_cell_length_a 7.326
_cell_length_b 7.326
_cell_length_c 7.326
_cell_angle_alpha 90.00
_cell_angle_beta 90.00
_cell_angle_gamma 90.00
_space_group_name_H-M_alt 'F -4 3 m'
_space_group_IT_number 216
_space_group_name_Hall 'F -4 2 3'
loop_
_atom_site_label
_atom_site_type_symbol
_atom_site_fract_x
_atom_site_fract_y
_atom_site_fract_z
Gd1 Gd 0.000 0.000 0.000
Y1 Y 0.000 0.000 0.500
Rh1 Rh 0.250 0.250 0.750
Pb1 Pb 0.250 0.250 0.250
```

Summary:
**Energy of formation from the pure elements**: -200 kJ/mol of formula units
**Size of the total moment**: 7.1 μB per formula unit
**Volume**: 24.6 Å³ per atom